Here is a relaxed SrAc2Sn3Pd6 crystal from the Alexandria database. Energies are from PBE.

abc: 4.4122 4.4122 15.0169
angles: 90.00 90.00 90.00
Positions (direct):
1 Sr 0.0000 0.0000 0.0000
2 Ac 0.0000 0.0000 0.3542
3 Ac 0.0000 0.0000 0.6458
4 Sn 0.5000 0.5000 0.1028
5 Sn 0.5000 0.5000 0.5000
6 Sn 0.5000 0.5000 0.8972
7 Pd 0.0000 0.5000 0.2002
8 Pd 0.0000 0.5000 0.7998
9 Pd 0.5000 0.0000 0.2002
10 Pd 0.5000 0.0000 0.7998
11 Pd 0.5000 0.5000 0.3233
12 Pd 0.5000 0.5000 0.6767

## Properties
Crystal system: tetragonal
DFT formation energy, meV per atom: -714
Spin magnetization, μB per cell: 0.00
DOS(E_F), states/eV/atom: 0.523
ρ, g/cm³: 8.73